Computed, not measured: an optimized crystal structure of FeNiF3 at the PBE+U level of DFT.

Cell lengths 4.012, 4.012, 4.012 Å; angles 90.00, 90.00, 90.00 degrees
Atoms (fractional coordinates):
Fe1 0.000 0.000 0.000
Ni1 0.500 0.500 0.500
F1 0.000 0.000 0.500
F2 0.000 0.500 0.000
F3 0.500 0.000 0.000

Output
Crystal system: cubic
Energy relative to the lowest polymorph listed for this composition, meV per atom: 0